Computed, not measured: a geometry-optimized MnOF structure at the PBEsol level of DFT.

Geometry as extended XYZ:
```
6
Lattice="3.138 0.000 0.000 0.000 3.734 0.000 0.000 0.000 5.746" Properties=species:S:1:pos:R:3 pbc="T T T"
Mn 0.816 1.867 1.941
Mn 2.385 0.000 3.805
F 0.902 0.000 4.998
F 2.472 1.867 0.748
O 0.636 0.000 2.404
O 2.205 1.867 3.342
```

Output
- Symmetry: Pmn2_1
- DFT total energy: -7.531 eV per atom
- Formation energy from raw total energies: -1.89 eV per atom